# Li4V3Cu3W2O16

A relaxed Li4V3Cu3W2O16 crystal (GGA+U, the Alexandria database).

Cell: 5.919 5.965 9.922 Å, 92.27 90.10 119.38°
Positions (direct):
Li: 0.000 0.000 0.000
Li: 0.003 0.016 0.509
Li: 0.320 0.671 0.431
Li: 0.650 0.307 0.929
V: 0.171 0.350 0.747
V: 0.343 0.188 0.242
V: 0.828 0.180 0.235
Cu: 0.174 0.839 0.729
Cu: 0.654 0.833 0.729
Cu: 0.825 0.665 0.228
W: 0.330 0.666 0.009
W: 0.667 0.350 0.510
O: 0.001 0.013 0.808
O: 0.011 0.012 0.318
O: 0.021 0.478 0.885
O: 0.176 0.352 0.123
O: 0.184 0.846 0.103
O: 0.314 0.641 0.640
O: 0.355 0.206 0.607
O: 0.448 0.474 0.882
O: 0.470 0.935 0.877
O: 0.487 0.466 0.373
O: 0.507 0.045 0.365
O: 0.634 0.314 0.131
O: 0.662 0.841 0.105
O: 0.827 0.680 0.594
O: 0.844 0.210 0.603
O: 0.949 0.473 0.368

Output
Theoretical density: 5.4 g/cm3
DOS at the Fermi energy: 4.54 states/eV per cell
Total moment: 6.0 μB/cell
Total DFT energy (no corrections): -6.593 eV/atom